(1)
Density functional theory data (meta-GGA SCAN) for SrReHF2 at its PBEsol-relaxed geometry.

abc: 4.6057 4.6057 4.7001
angles: 90.00 90.00 90.00
Closest atoms and distances in Å follow each position.
Fractional coordinates of all 5 atoms:
F (0.5000, 0.0000, 0.0000)  2 Sr 2.30
F (0.0000, 0.5000, 0.0000)  2 Sr 2.30
Re (0.5000, 0.5000, 0.5000)  4 H 3.26, 8 F 3.29
Sr (0.0000, 0.0000, 0.0000)  4 F 2.30, 2 H 2.35
H (0.0000, 0.0000, 0.5000)  2 Sr 2.35

Values from the calculation:
Fermi-level density of states	0.028	states/eV per atom

(2)
Density functional theory data (meta-GGA SCAN) for HRh2WF at its PBEsol-relaxed geometry.

abc: 3.6876 3.6876 4.1211
angles: 90.00 90.00 90.00
Closest atoms and distances in Å follow each position.
Fractional coordinates of all 5 atoms:
F (0.0000, 0.0000, 0.5000)  2 H 2.06
H (0.0000, 0.0000, 0.0000)  4 Rh 1.84, 2 F 2.06
Rh (0.0000, 0.5000, 0.0000)  2 H 1.84
Rh (0.5000, 0.0000, 0.0000)  2 H 1.84
W (0.5000, 0.5000, 0.5000)  4 F 2.61, 8 Rh 2.77

Values from the calculation:
Fermi-level density of states	0.796	states/eV per atom

(3)
Density functional theory data (meta-GGA SCAN) for SbH3F at its PBEsol-relaxed geometry.

abc: 3.5382 3.5382 3.5382
angles: 90.00 90.00 90.00
Closest atoms and distances in Å follow each position.
Fractional coordinates of all 5 atoms:
H (0.5000, 0.0000, 0.0000)  2 F 1.77
H (0.0000, 0.0000, 0.5000)  2 F 1.77
H (0.0000, 0.5000, 0.0000)  2 F 1.77
Sb (0.5000, 0.5000, 0.5000)  12 H 2.50
F (0.0000, 0.0000, 0.0000)  6 H 1.77

Values from the calculation:
offset from the most stable computed form	869	meV per atom
Fermi-level density of states	0.285	states/eV per atom

(4)
Density functional theory data (meta-GGA SCAN) for SbHF2 at its PBEsol-relaxed geometry.

abc: 3.0743 3.0743 6.3789
angles: 76.06 76.06 60.00
Closest atoms and distances in Å follow each position.
Fractional coordinates of all 4 atoms:
H (0.5000, 0.5000, 0.5000)  6 F 2.00
F (0.8831, 0.8831, 0.3508)  3 H 2.00, 1 Sb 2.15
F (0.1169, 0.1169, 0.6492)  3 H 2.00, 1 Sb 2.15
Sb (0.0000, 0.0000, 0.0000)  2 F 2.15

Values from the calculation:
Fermi-level density of states	0.251	states/eV per atom

(5)
Density functional theory data (meta-GGA SCAN) for SbH2F at its PBEsol-relaxed geometry.

abc: 3.7429 3.7429 3.7429
angles: 60.00 60.00 60.00
Closest atoms and distances in Å follow each position.
Fractional coordinates of all 4 atoms:
H (0.2500, 0.2500, 0.2500)  4 F 2.29, 4 Sb 2.29
H (0.7500, 0.7500, 0.7500)  4 Sb 2.29, 4 F 2.29
Sb (0.5000, 0.5000, 0.5000)  8 H 2.29
F (0.0000, 0.0000, 0.0000)  8 H 2.29

Values from the calculation:
Fermi-level density of states	0.052	states/eV per atom

(6)
Density functional theory data (meta-GGA SCAN) for Sb2HF13 at its PBEsol-relaxed geometry.

abc: 5.4749 6.3349 7.2081
angles: 111.13 97.43 92.80
Closest atoms and distances in Å follow each position.
Fractional coordinates of all 16 atoms:
F (0.0360, 0.4293, 0.2661)  1 Sb 1.88
F (0.6932, 0.1029, 0.7454)  1 Sb 1.88
F (0.9640, 0.5707, 0.7339)  1 Sb 1.88
F (0.6773, 0.6227, 0.0315)  1 H 1.16
F (0.3068, 0.8971, 0.2546)  1 Sb 1.88
F (0.4442, 0.2308, 0.1540)  1 F 1.95, 1 Sb 2.01
F (0.3227, 0.3773, 0.9685)  1 H 1.16
F (0.1250, 0.9176, 0.6339)  1 Sb 1.87
F (0.8750, 0.0824, 0.3661)  1 Sb 1.87
F (0.5558, 0.7692, 0.8460)  1 F 1.95, 1 Sb 2.01
F (0.6436, 0.6735, 0.4556)  1 Sb 1.87
F (0.0000, 0.0000, 0.0000)  2 Sb 2.04
F (0.3564, 0.3265, 0.5444)  1 Sb 1.87
Sb (0.8331, 0.8290, 0.7090)  6 F 1.87-2.04
Sb (0.1669, 0.1710, 0.2910)  6 F 1.87-2.04
H (0.5000, 0.5000, 0.0000)  2 F 1.16

no.,total DFT energy (no corrections) (eV per atom),total moment (μB per formula unit)
1,-21.32,5.98
2,-28.53,0.00
3,-9.43,0.01
4,-12.56,0.02
5,-11.92,0.00
6,-9.60,2.21